(1)
The following is a DFT calculation (GGA-PBE) of an optimized crystal structure of ZnAuOF2.

a b c (Å): 3.8884 3.8884 4.2575
angles (deg): 90.00 90.00 90.00
Positions (direct):
1 Zn 0.0000 0.0000 0.0000
2 Au 0.5000 0.5000 0.5000
3 O 0.0000 0.0000 0.5000
4 F 0.0000 0.5000 0.0000
5 F 0.5000 0.0000 0.0000

Summary:
As for the excess energy over the best structure of this formula in the dataset: 0 kJ/mol of formula units.

***

(2)
The following is a DFT calculation (GGA-PBE) of an optimized crystal structure of ZnAuOF2.

a b c (Å): 4.3724 4.3724 4.0879
angles (deg): 90.00 90.00 90.00
Positions (direct):
1 Zn 0.0000 0.0000 0.0000
2 Au 0.5000 0.5000 0.5000
3 O 0.5000 0.5000 0.0000
4 F 0.0000 0.5000 0.5000
5 F 0.5000 0.0000 0.5000

Summary:
As for the excess energy over the best structure of this formula in the dataset: 227 kJ/mol of formula units.

***

(3)
The following is a DFT calculation (GGA-PBE) of an optimized crystal structure of ZrAuOF2.

a b c (Å): 4.3333 4.3333 4.0770
angles (deg): 90.00 90.00 90.00
Positions (direct):
1 Zr 0.0000 0.0000 0.0000
2 Au 0.5000 0.5000 0.5000
3 O 0.0000 0.0000 0.5000
4 F 0.0000 0.5000 0.0000
5 F 0.5000 0.0000 0.0000

Summary:
As for the excess energy over the best structure of this formula in the dataset: 0 kJ/mol of formula units.

***

(4)
The following is a DFT calculation (GGA-PBE) of an optimized crystal structure of ZrAuOF2.

a b c (Å): 4.4861 4.4861 4.0823
angles (deg): 90.00 90.00 90.00
Positions (direct):
1 Zr 0.0000 0.0000 0.0000
2 Au 0.5000 0.5000 0.5000
3 O 0.5000 0.5000 0.0000
4 F 0.0000 0.5000 0.5000
5 F 0.5000 0.0000 0.5000

Summary:
As for the excess energy over the best structure of this formula in the dataset: 818 kJ/mol of formula units.

***

(5)
The following is a DFT calculation (GGA-PBE) of an optimized crystal structure of OsAuF2.

a b c (Å): 4.2974 4.2974 4.2974
angles (deg): 60.00 60.00 60.00
Positions (direct):
1 Os 0.0000 0.0000 0.0000
2 Au 0.5000 0.5000 0.5000
3 F 0.2500 0.2500 0.2500
4 F 0.7500 0.7500 0.7500

Summary:
As for the excess energy over the best structure of this formula in the dataset: 235 kJ/mol of formula units.

***

(6)
The following is a DFT calculation (GGA-PBE) of an optimized crystal structure of Os2AuF.

a b c (Å): 4.3409 4.3409 4.3409
angles (deg): 60.00 60.00 60.00
Positions (direct):
1 Os 0.2500 0.2500 0.2500
2 Os 0.7500 0.7500 0.7500
3 Au 0.0000 0.0000 0.0000
4 F 0.5000 0.5000 0.5000

Summary:
As for the excess energy over the best structure of this formula in the dataset: 70 kJ/mol of formula units.

***

(7)
The following is a DFT calculation (GGA-PBE) of an optimized crystal structure of OsAu2F8.

a b c (Å): 6.5520 6.5520 5.8544
angles (deg): 95.59 95.59 49.69
Positions (direct):
1 Os 0.0000 0.0000 0.0000
2 Au 0.2404 0.2404 0.4690
3 Au 0.7596 0.7596 0.5310
4 F 0.0719 0.0719 0.3177
5 F 0.1332 0.6591 0.0802
6 F 0.3409 0.8668 0.9198
7 F 0.3939 0.3939 0.6191
8 F 0.6061 0.6061 0.3809
9 F 0.6591 0.1332 0.0802
10 F 0.8668 0.3409 0.9198
11 F 0.9281 0.9281 0.6823

***

(8)
The following is a DFT calculation (GGA-PBE) of an optimized crystal structure of Os3AuF.

a b c (Å): 4.2379 4.2379 4.2379
angles (deg): 90.00 90.00 90.00
Positions (direct):
1 Os 0.0000 0.0000 0.5000
2 Os 0.0000 0.5000 0.0000
3 Os 0.5000 0.0000 0.0000
4 Au 0.5000 0.5000 0.5000
5 F 0.0000 0.0000 0.0000

Summary:
As for the excess energy over the best structure of this formula in the dataset: 0 kJ/mol of formula units.

***

Calculated electronic total energy in order - -3.464; -2.993; -6.246; -4.550; -4.100; -5.869; -4.210; -6.036 eV/atom
Calculated E_form (uncorrected) in order - -0.81; -0.34; -2.14; -0.44; 0.46; 1.03; -1.23; 1.73 eV per atom